First-principles (GGA+U) data for a relaxed structure of Cr2F5, as listed in Alexandria.

Properties
Energy above the lowest structure with this stoichiometry (meV/atom): 0

abc: 5.519 5.519 7.286
angles: 68.43 68.43 87.65
Element x y z (fractional)
Cr (0.500, 0.000, 0.500)
Cr (0.500, 0.000, 0.000)
Cr (0.000, 0.500, 0.000)
Cr (0.000, 0.500, 0.500)
F (0.188, 0.812, 0.750)
F (0.643, 0.095, 0.677)
F (0.812, 0.188, 0.250)
F (0.680, 0.690, 0.539)
F (0.095, 0.643, 0.177)
F (0.320, 0.310, 0.461)
F (0.310, 0.320, 0.961)
F (0.357, 0.905, 0.323)
F (0.905, 0.357, 0.823)
F (0.690, 0.680, 0.039)